Entry 1:
TiNb2V | the Alexandria database | PBE-GGA | optimized geometry; formation energy = 49 meV/atom; total moment = 0.000 μB/atom; energy above the lowest structure with this stoichiometry = 0.000 eV per formula unit; N(E_F) = 1.98 states/eV per atom
1.0
3.184 0.000 0.000
0.000 3.184 0.000
0.000 0.000 6.622
V Nb Ti
1 2 1
Cartesian
1.592 1.592 0.000
0.000 0.000 5.075
0.000 0.000 1.547
1.592 1.592 3.311

Entry 2:
CsSr2Pb2 | the Alexandria database | PBE-GGA | optimized geometry; formation energy = -371 meV/atom; total moment = 0.000 μB/atom; energy above the lowest structure with this stoichiometry = 0.000 eV per formula unit; N(E_F) = 0.39 states/eV per atom
1.0
-3.090 7.266 6.820
1.334 -6.774 7.822
3.481 1.124 0.380
Sr Pb Cs
4 4 2
Cartesian
-0.774 -1.355 11.104
0.443 -3.325 5.773
-0.982 1.847 3.537
-2.200 3.816 8.869
-0.103 4.279 6.087
1.656 -0.440 3.931
1.827 -2.663 8.934
0.069 2.055 11.091
0.000 0.000 0.000
-0.878 0.246 7.321

Entry 3:
KCoCu | the Alexandria database | PBE-GGA | optimized geometry; formation energy = 955 meV/atom; total moment = 0.565 μB/atom; energy above the lowest structure with this stoichiometry = 0.948 eV per formula unit; N(E_F) = 1.38 states/eV per atom
1.0
2.869 0.000 0.000
-1.435 2.485 0.000
0.000 0.000 7.478
Co K Cu
1 1 1
Cartesian
0.000 0.000 0.299
0.000 1.656 5.011
1.435 0.828 2.168